Entry 1:
VASP calculation (PBE) on DyTmNiPd after structural relaxation.

abc: 4.852 4.852 4.852
angles: 60.00 60.00 60.00
Element x y z (fractional)
Dy: 0.000 0.000 0.000
Tm: 0.500 0.500 0.500
Ni: 0.250 0.250 0.250
Pd: 0.750 0.750 0.750

## Properties
V   20.2 Å³ per atom
DFT formation energy   -0.652 eV per atom
Offset from the most stable computed form   0.0367 eV per atom
Crystal system   cubic

=====

Entry 2:
VASP calculation (PBE) on DyYNiPd after structural relaxation.

abc: 4.363 5.530 5.530
angles: 40.05 90.00 90.00
Element x y z (fractional)
Dy: 0.000 0.000 0.000
Y: 0.500 0.279 0.279
Ni: 0.500 0.557 0.557
Pd: 0.000 0.716 0.716

## Properties
V   21.5 Å³ per atom
DFT formation energy   -0.661 eV per atom
Offset from the most stable computed form   0.0000 eV per atom
Crystal system   orthorhombic

=====

Entry 3:
VASP calculation (PBE) on DyYNiPd after structural relaxation.

abc: 4.894 4.894 4.894
angles: 60.00 60.00 60.00
Element x y z (fractional)
Dy: 0.000 0.000 0.000
Y: 0.500 0.500 0.500
Ni: 0.250 0.250 0.250
Pd: 0.750 0.750 0.750

## Properties
V   20.7 Å³ per atom
DFT formation energy   -0.613 eV per atom
Offset from the most stable computed form   0.0482 eV per atom
Crystal system   cubic

=====

Entry 4:
VASP calculation (PBE) on DyZnNiPd after structural relaxation.

abc: 4.584 4.584 4.584
angles: 60.00 60.00 60.00
Element x y z (fractional)
Dy: 0.000 0.000 0.000
Zn: 0.500 0.500 0.500
Ni: 0.250 0.250 0.250
Pd: 0.750 0.750 0.750

## Properties
V   17.0 Å³ per atom
DFT formation energy   -0.496 eV per atom
Crystal system   cubic

=====

Which value of DFT formation energy does entry 4 give?
-0.496 eV per atom

=====

Which of these has the highest V?
number 2

=====

Among the records above, which one has the highest DFT formation energy?
DyZnNiPd